Entry 1:
The following is a DFT calculation (PBE-GGA) of an optimized crystal structure of Ba2ScNbSn.

The structure in extended XYZ format:
```
5
Lattice="-1.766 5.606 1.085 -4.690 -1.734 1.321 1.796 -0.533 5.676" Properties=species:S:1:pos:R:3 pbc="T T T"
Ba -0.883 2.803 0.543
Nb 0.000 0.000 0.000
Sc -2.345 -0.867 0.660
Ba 0.898 -0.267 2.838
Sn -2.330 1.670 4.041
```

Output
distance to the lowest polymorph of the same formula	0.000	eV/atom
magnetization	0.000	μB/atom
formation energy	61.20	kJ per mole of atoms

Entry 2:
The following is a DFT calculation (PBE-GGA) of an optimized crystal structure of Cs2GaBr5.

The structure in extended XYZ format:
```
8
Lattice="-6.840 3.894 1.903 -4.323 -6.391 -2.458 5.785 -0.721 5.041" Properties=species:S:1:pos:R:3 pbc="T T T"
Br -2.406 -0.601 0.028
Cs -2.055 -4.221 1.251
Br -6.290 1.610 1.109
Br -5.487 -2.159 1.924
Ga -5.392 -3.073 4.134
Cs -3.314 0.922 3.431
Br -8.744 -2.019 -0.287
Br -4.860 -4.230 -1.367
```

Output
magnetization	0.000	μB/atom
raw formation energy	-1332	meV per atom

Entry 3:
The following is a DFT calculation (PBE-GGA) of an optimized crystal structure of PmY5Ho2.

The structure in extended XYZ format:
```
16
Lattice="5.036 0.000 0.000 0.000 7.144 0.000 0.000 0.000 14.294" Properties=species:S:1:pos:R:3 pbc="T T T"
Y 0.000 0.003 3.570
Ho 2.518 1.784 8.939
Pm 0.000 0.000 7.147
Y 2.518 5.358 1.790
Y 0.000 3.572 7.147
Ho 2.518 1.788 1.792
Ho 2.518 5.356 12.502
Ho 2.518 5.360 5.355
Y 0.000 3.574 3.577
Y 0.000 7.141 10.724
Y 2.518 1.785 12.504
Y 2.518 1.786 5.357
Pm 0.000 3.572 0.000
Y 2.518 5.357 8.937
Y 0.000 3.569 10.717
Y 0.000 0.000 0.000
```

Output
distance to the lowest polymorph of the same formula	0.000	eV/atom
magnetization	0.000	μB/atom
formation energy	1.95	kJ per mole of atoms

Entry 4:
The following is a DFT calculation (PBE-GGA) of an optimized crystal structure of PrNd3Y4.

The structure in extended XYZ format:
```
8
Lattice="3.366 0.000 0.872 1.165 8.643 2.436 -0.531 -1.027 8.980" Properties=species:S:1:pos:R:3 pbc="T T T"
Nd 0.317 3.808 5.708
Nd 1.292 5.779 8.874
Pr 1.683 0.000 0.436
Y 1.944 0.371 6.361
Nd 2.707 1.836 3.414
Y 2.790 5.198 3.094
Y 2.056 7.244 5.927
Y 1.209 2.418 9.194
```

Output
distance to the lowest polymorph of the same formula	0.106	eV/atom
magnetization	0.000	μB/atom
formation energy	12.40	kJ per mole of atoms

Entry 5:
The following is a DFT calculation (PBE-GGA) of an optimized crystal structure of La4Co2Pd.

The structure in extended XYZ format:
```
14
Lattice="7.376 -0.562 -2.197 -3.229 6.643 -2.234 -0.223 -0.288 7.725" Properties=species:S:1:pos:R:3 pbc="T T T"
La -1.145 2.511 1.026
La -1.637 4.832 3.746
Pd 4.146 6.081 -4.431
Co -0.214 3.977 -0.993
La -1.549 6.249 0.150
La 2.534 2.216 -0.101
La 1.570 5.201 1.629
Pd 4.612 1.096 1.657
La 1.708 5.326 -2.233
Co 3.945 4.396 -0.691
La 3.616 2.522 4.030
Co 1.021 2.913 2.873
La -0.012 1.525 4.892
Co 3.108 0.295 5.397
```

Output
magnetization	0.000	μB/atom
formation energy	-28.11	kJ per mole of atoms

Entry 6:
The following is a DFT calculation (PBE-GGA) of an optimized crystal structure of ZnGaTeN2.

The structure in extended XYZ format:
```
5
Lattice="4.006 0.000 0.000 0.000 4.006 0.000 0.000 0.000 6.081" Properties=species:S:1:pos:R:3 pbc="T T T"
Zn 0.000 0.000 0.000
Ga 2.003 2.003 3.040
Te 0.000 0.000 3.040
N 2.003 0.000 0.000
N 0.000 2.003 0.000
```

Output
distance to the lowest polymorph of the same formula	0.208	eV/atom
magnetization	0.677	μB/atom
raw formation energy	1349	meV per atom

Entry 7:
The following is a DFT calculation (PBE-GGA) of an optimized crystal structure of TbPr4Sm15.

The structure in extended XYZ format:
```
20
Lattice="5.155 0.000 0.000 0.000 5.155 0.000 0.000 0.000 25.729" Properties=species:S:1:pos:R:3 pbc="T T T"
Pr 0.000 0.000 10.280
Sm 2.578 2.578 15.447
Pr 0.000 0.000 20.610
Sm 2.578 0.000 7.698
Sm 2.578 2.578 0.000
Sm 0.000 2.578 2.534
Sm 2.578 2.578 10.282
Sm 2.578 0.000 23.195
Sm 2.578 0.000 12.864
Sm 2.578 0.000 2.534
Sm 2.578 2.578 20.618
Pr 0.000 0.000 5.118
Tb 0.000 0.000 0.000
Pr 0.000 0.000 15.448
Sm 0.000 2.578 7.698
Sm 0.000 2.578 23.195
Sm 2.578 2.578 5.111
Sm 0.000 2.578 12.864
Sm 0.000 2.578 18.030
Sm 2.578 0.000 18.030
```

Output
magnetization	0.000	μB/atom
formation energy	1.54	kJ per mole of atoms

Entry 8:
The following is a DFT calculation (PBE-GGA) of an optimized crystal structure of LiPrSi2Pd2.

The structure in extended XYZ format:
```
6
Lattice="4.213 0.000 0.000 -2.106 3.648 0.000 0.000 0.000 6.887" Properties=species:S:1:pos:R:3 pbc="T T T"
Pr 0.000 0.000 0.000
Pd 2.106 1.216 2.468
Pd 0.000 2.432 4.419
Si 0.000 2.432 1.944
Li 0.000 0.000 3.443
Si 2.106 1.216 4.943
```

Output
magnetization	0.000	μB/atom
raw formation energy	-803	meV per atom

These records have VASP energy values of -4.216, -2.969, -5.758, -5.489, -5.879, -3.470, -4.711, -5.457 eV per atom, in the order they appear.